No. 1
{
  "formula": "Fe2PdI",
  "functional": "PBE-GGA",
  "state": "relaxed",
  "volume_a3_per_atom": 25.134,
  "dft_energy_ev_per_fu": -20.244,
  "sg": "I-42d (122)",
  "e_form_raw_mev_per_atom": 856.0,
  "cell": [[-0.548, -2.324, -5.389], [4.466, -3.677, 1.131], [-1.780, -6.906, -0.064]],
  "species": ["Pd", "Pd", "Fe", "Fe", "Fe", "Fe", "I", "I"],
  "fractional_positions": [[0.500, 0.500, 0.000], [0.250, 0.750, 0.500], [0.165, 0.625, 0.250], [0.875, 0.835, 0.750], [0.375, 0.415, 0.750], [0.585, 0.125, 0.250], [0.000, 0.000, 0.000], [0.750, 0.250, 0.500]]
}

***

No. 2
{
  "formula": "FePdI4",
  "functional": "PBE-GGA",
  "state": "relaxed",
  "volume_a3_per_atom": 41.720,
  "dft_energy_ev_per_fu": -20.494,
  "sg": "C222_1 (20)",
  "e_form_raw_mev_per_atom": -106.4,
  "cell": [[6.928, 1.188, 0.000], [0.987, 6.960, 0.000], [0.000, 0.000, 10.641]],
  "species": ["Fe", "Fe", "I", "I", "I", "I", "I", "I", "I", "I", "Pd", "Pd"],
  "fractional_positions": [[0.324, 0.324, 0.500], [0.676, 0.676, 0.000], [0.824, 0.748, 0.209], [0.293, 0.800, 0.012], [0.176, 0.252, 0.709], [0.800, 0.293, 0.988], [0.707, 0.200, 0.512], [0.748, 0.824, 0.791], [0.252, 0.176, 0.291], [0.200, 0.707, 0.488], [0.172, 0.828, 0.250], [0.828, 0.172, 0.750]]
}

***

No. 3
{
  "formula": "Fe2PdI6",
  "functional": "PBE-GGA",
  "state": "relaxed",
  "volume_a3_per_atom": 35.429,
  "dft_energy_ev_per_fu": -32.292,
  "sg": "C2/c (15)",
  "e_form_raw_mev_per_atom": -97.0,
  "cell": [[7.365, -0.300, -0.290], [1.784, 9.241, 0.081], [1.784, 0.381, 9.234]],
  "species": ["I", "I", "I", "I", "I", "I", "I", "I", "I", "I", "I", "I", "Pd", "Pd", "Fe", "Fe", "Fe", "Fe"],
  "fractional_positions": [[0.357, 0.379, 0.877], [0.610, 0.962, 0.814], [0.857, 0.877, 0.379], [0.390, 0.038, 0.186], [0.110, 0.814, 0.962], [0.143, 0.123, 0.621], [0.874, 0.548, 0.709], [0.890, 0.186, 0.038], [0.374, 0.709, 0.548], [0.126, 0.452, 0.291], [0.626, 0.291, 0.452], [0.643, 0.621, 0.123], [0.250, 0.099, 0.901], [0.750, 0.901, 0.099], [0.321, 0.217, 0.388], [0.179, 0.612, 0.783], [0.821, 0.388, 0.217], [0.679, 0.783, 0.612]]
}

***

No. 4
{
  "formula": "FePd3I",
  "functional": "PBE-GGA",
  "state": "relaxed",
  "volume_a3_per_atom": 21.138,
  "dft_energy_ev_per_fu": -22.399,
  "polymorph_energy_mev_per_atom": 0,
  "sg": "Pm-3m (221)",
  "e_form_raw_mev_per_atom": 638.4,
  "cell": [[-0.290, -3.369, -3.304], [4.654, -0.754, 0.360], [-0.783, -3.230, 3.363]],
  "species": ["I", "Pd", "Pd", "Pd", "Fe"],
  "fractional_positions": [[0.500, 0.500, 0.500], [0.000, 0.500, 0.000], [0.500, 0.000, 0.000], [0.000, 0.000, 0.500], [0.000, 0.000, 0.000]]
}

***

No. 5
{
  "formula": "Fe3PdI9",
  "functional": "PBE-GGA",
  "state": "relaxed",
  "volume_a3_per_atom": 41.777,
  "dft_energy_ev_per_fu": -45.877,
  "sg": "Cc (9)",
  "e_form_raw_mev_per_atom": -103.5,
  "cell": [[2.676, -5.186, 8.708], [5.422, -9.336, -0.917], [11.053, 2.442, 4.368]],
  "species": ["Pd", "Pd", "I", "I", "I", "I", "I", "I", "I", "I", "I", "I", "I", "I", "I", "I", "I", "I", "I", "I", "Fe", "Fe", "Fe", "Fe", "Fe", "Fe"],
  "fractional_positions": [[0.064, 0.505, 0.996], [0.436, 0.005, 0.496], [0.474, 0.491, 0.261], [0.718, 0.394, 0.552], [0.774, 0.991, 0.761], [0.049, 0.604, 0.228], [0.760, 0.704, 0.049], [0.841, 0.034, 0.083], [0.042, 0.534, 0.583], [0.304, 0.193, 0.338], [0.416, 0.803, 0.419], [0.686, 0.469, 0.880], [0.963, 0.315, 0.153], [0.335, 0.894, 0.052], [0.165, 0.693, 0.838], [0.965, 0.969, 0.380], [0.362, 0.303, 0.919], [0.487, 0.204, 0.549], [0.569, 0.815, 0.653], [0.119, 0.104, 0.728], [0.755, 0.551, 0.661], [0.034, 0.051, 0.161], [0.212, 0.457, 0.355], [0.483, 0.739, 0.204], [0.976, 0.957, 0.855], [0.574, 0.239, 0.704]]
}

***

No. 6
{
  "formula": "FePd2I6",
  "functional": "PBE-GGA",
  "state": "relaxed",
  "volume_a3_per_atom": 44.859,
  "dft_energy_ev_per_fu": -29.332,
  "sg": "C2/c (15)",
  "e_form_raw_mev_per_atom": -131.5,
  "cell": [[-5.605, 6.915, -6.237], [1.844, 0.807, -9.941], [-9.194, -2.384, -3.559]],
  "species": ["I", "I", "I", "I", "I", "I", "I", "I", "I", "I", "I", "I", "Pd", "Pd", "Pd", "Pd", "Fe", "Fe"],
  "fractional_positions": [[0.772, 0.600, 0.611], [0.484, 0.361, 0.873], [0.265, 0.847, 0.878], [0.728, 0.389, 0.400], [0.016, 0.127, 0.639], [0.765, 0.878, 0.847], [0.735, 0.153, 0.122], [0.228, 0.400, 0.389], [0.984, 0.873, 0.361], [0.235, 0.122, 0.153], [0.516, 0.639, 0.127], [0.272, 0.611, 0.600], [0.000, 0.670, 0.586], [0.500, 0.586, 0.670], [0.000, 0.330, 0.414], [0.500, 0.414, 0.330], [0.250, 0.860, 0.140], [0.750, 0.140, 0.860]]
}

***

No. 7
{
  "formula": "Fe3PdI12",
  "functional": "PBE-GGA",
  "state": "relaxed",
  "volume_a3_per_atom": 49.580,
  "dft_energy_ev_per_fu": -50.172,
  "sg": "P6_3/m (176)",
  "e_form_raw_mev_per_atom": -61.8,
  "cell": [[7.689, 0.000, 0.000], [0.000, 13.368, -7.718], [0.000, 0.000, 15.436]],
  "species": ["I", "I", "I", "I", "I", "I", "I", "I", "I", "I", "I", "I", "I", "I", "I", "I", "I", "I", "I", "I", "I", "I", "I", "I", "Pd", "Pd", "Fe", "Fe", "Fe", "Fe", "Fe", "Fe"],
  "fractional_positions": [[0.982, 0.753, 0.249], [0.518, 0.497, 0.247], [0.750, 0.059, 0.255], [0.982, 0.497, 0.247], [0.250, 0.512, 0.014], [0.018, 0.249, 0.497], [0.518, 0.751, 0.503], [0.482, 0.249, 0.497], [0.750, 0.745, 0.804], [0.482, 0.247, 0.751], [0.018, 0.503, 0.753], [0.250, 0.804, 0.059], [0.250, 0.255, 0.196], [0.750, 0.196, 0.941], [0.750, 0.499, 0.512], [0.982, 0.751, 0.503], [0.250, 0.501, 0.488], [0.518, 0.753, 0.249], [0.018, 0.247, 0.751], [0.750, 0.488, 0.986], [0.250, 0.941, 0.745], [0.482, 0.503, 0.753], [0.250, 0.986, 0.499], [0.750, 0.014, 0.501], [0.250, 0.333, 0.667], [0.750, 0.667, 0.333], [0.250, 0.863, 0.560], [0.750, 0.137, 0.440], [0.750, 0.303, 0.863], [0.750, 0.560, 0.697], [0.250, 0.697, 0.137], [0.250, 0.440, 0.303]]
}

***

No. 8
{
  "formula": "RbFe2PdI8",
  "functional": "PBE-GGA",
  "state": "relaxed",
  "volume_a3_per_atom": 41.746,
  "dft_energy_ev_per_fu": -39.903,
  "sg": "C2/m (12)",
  "e_form_raw_mev_per_atom": -368.0,
  "cell": [[7.111, -0.445, 0.257], [2.886, 6.514, 0.257], [0.850, 0.516, 10.567]],
  "species": ["Fe", "Fe", "I", "I", "I", "I", "I", "I", "I", "I", "Rb", "Pd"],
  "fractional_positions": [[0.384, 0.384, 0.788], [0.616, 0.616, 0.212], [0.766, 0.267, 0.803], [0.733, 0.234, 0.197], [0.311, 0.311, 0.572], [0.267, 0.766, 0.803], [0.689, 0.689, 0.428], [0.234, 0.733, 0.197], [0.764, 0.764, 0.010], [0.236, 0.236, 0.990], [0.000, 0.000, 0.500], [0.000, 0.000, 0.000]]
}

***

No. 9
{
  "formula": "TaFePdI2",
  "functional": "PBE-GGA",
  "state": "relaxed",
  "volume_a3_per_atom": 22.990,
  "dft_energy_ev_per_fu": -21.758,
  "sg": "P4/mmm (123)",
  "e_form_raw_mev_per_atom": 1370.2,
  "cell": [[-0.112, -4.038, -2.861], [4.878, 0.391, -0.744], [0.789, -2.688, 3.763]],
  "species": ["Fe", "Ta", "Pd", "I", "I"],
  "fractional_positions": [[0.000, 0.000, 0.000], [0.500, 0.500, 0.500], [0.000, 0.000, 0.500], [0.000, 0.500, 0.000], [0.500, 0.000, 0.000]]
}

***

No. 10
{
  "formula": "FeTePdI2",
  "functional": "PBE-GGA",
  "state": "relaxed",
  "volume_a3_per_atom": 25.454,
  "dft_energy_ev_per_fu": -16.548,
  "polymorph_energy_mev_per_atom": 40,
  "sg": "P4/mmm (123)",
  "e_form_raw_mev_per_atom": 669.9,
  "cell": [[-4.087, -2.951, 0.422], [1.281, -2.385, -4.273], [2.647, -3.290, 2.630]],
  "species": ["Pd", "I", "I", "Te", "Fe"],
  "fractional_positions": [[0.000, 0.000, 0.500], [0.000, 0.500, 0.000], [0.500, 0.000, 0.000], [0.500, 0.500, 0.500], [0.000, 0.000, 0.000]]
}

***

No. 11
{
  "formula": "FeTePdI2",
  "functional": "PBE-GGA",
  "state": "relaxed",
  "volume_a3_per_atom": 29.618,
  "dft_energy_ev_per_fu": -16.749,
  "polymorph_energy_mev_per_atom": 0,
  "sg": "P4/mmm (123)",
  "e_form_raw_mev_per_atom": 629.6,
  "cell": [[-0.490, -1.766, 5.107], [4.501, -2.970, -0.596], [2.772, 3.878, 1.607]],
  "species": ["I", "I", "Te", "Pd", "Fe"],
  "fractional_positions": [[0.000, 0.500, 0.000], [0.500, 0.000, 0.000], [0.000, 0.000, 0.500], [0.500, 0.500, 0.500], [0.000, 0.000, 0.000]]
}

***

No. 12
{
  "formula": "YFe2PdI",
  "functional": "PBE-GGA",
  "state": "relaxed",
  "volume_a3_per_atom": 26.823,
  "dft_energy_ev_per_fu": -23.054,
  "sg": "P4/mmm (123)",
  "e_form_raw_mev_per_atom": 1415.6,
  "cell": [[-4.706, 1.112, 0.215], [-0.945, -4.624, 3.239], [0.802, 2.628, 3.985]],
  "species": ["Fe", "Fe", "I", "Y", "Pd"],
  "fractional_positions": [[0.500, 0.000, 0.000], [0.000, 0.000, 0.500], [0.000, 0.500, 0.000], [0.000, 0.000, 0.000], [0.500, 0.500, 0.500]]
}

***

No. 13
{
  "formula": "ZnFePd2I",
  "functional": "PBE-GGA",
  "state": "relaxed",
  "volume_a3_per_atom": 21.483,
  "dft_energy_ev_per_fu": -18.648,
  "sg": "P4/mmm (123)",
  "e_form_raw_mev_per_atom": 604.9,
  "cell": [[4.777, 0.000, 0.000], [0.000, 4.706, 0.000], [0.000, 0.000, 4.777]],
  "species": ["Fe", "Zn", "Pd", "Pd", "I"],
  "fractional_positions": [[0.000, 0.000, 0.000], [0.000, 0.500, 0.000], [0.000, 0.000, 0.500], [0.500, 0.000, 0.000], [0.500, 0.500, 0.500]]
}

***

No. 14
{
  "formula": "Pm3FeI3",
  "functional": "PBE-GGA",
  "state": "relaxed",
  "volume_a3_per_atom": 32.756,
  "dft_energy_ev_per_fu": -32.866,
  "sg": "I4_132 (214)",
  "e_form_raw_mev_per_atom": -785.8,
  "cell": [[9.995, 0.000, -3.534], [-4.997, 8.656, -3.534], [0.000, 0.000, 10.601]],
  "species": ["Fe", "Fe", "Fe", "Fe", "I", "I", "I", "I", "I", "I", "I", "I", "I", "I", "I", "I", "Pm", "Pm", "Pm", "Pm", "Pm", "Pm", "Pm", "Pm", "Pm", "Pm", "Pm", "Pm"],
  "fractional_positions": [[0.750, 0.250, 0.250], [0.750, 0.500, 0.000], [0.500, 0.250, 0.500], [0.000, 0.000, 0.250], [0.009, 0.250, 0.991], [0.481, 0.741, 0.991], [0.009, 0.759, 0.519], [0.259, 0.519, 0.509], [0.491, 0.509, 0.250], [0.241, 0.250, 0.759], [0.019, 0.509, 0.759], [0.491, 0.981, 0.741], [0.259, 0.741, 0.250], [0.241, 0.991, 0.981], [0.750, 0.991, 0.509], [0.750, 0.759, 0.741], [0.250, 0.024, 0.476], [0.250, 0.226, 0.274], [0.547, 0.274, 0.024], [0.774, 0.024, 0.047], [0.726, 0.274, 0.750], [0.976, 0.226, 0.453], [0.976, 0.750, 0.024], [0.774, 0.750, 0.226], [0.524, 0.476, 0.750], [0.953, 0.476, 0.226], [0.726, 0.453, 0.476], [0.524, 0.047, 0.274]]
}

***

No. 15
{
  "formula": "Pm7FeI12",
  "functional": "PBE-GGA",
  "state": "relaxed",
  "volume_a3_per_atom": 41.138,
  "dft_energy_ev_per_fu": -84.379,
  "sg": "R-3 (148)",
  "e_form_raw_mev_per_atom": -1203.0,
  "cell": [[-2.150, -8.938, -3.789], [9.838, 0.229, 1.426], [-4.221, 0.402, 8.994]],
  "species": ["Pm", "Pm", "Pm", "Pm", "Pm", "Pm", "Pm", "I", "I", "I", "I", "I", "I", "I", "I", "I", "I", "I", "I", "Fe"],
  "fractional_positions": [[0.979, 0.707, 0.906], [0.707, 0.906, 0.979], [0.906, 0.979, 0.707], [0.500, 0.500, 0.500], [0.094, 0.021, 0.293], [0.021, 0.293, 0.094], [0.293, 0.094, 0.021], [0.463, 0.159, 0.383], [0.159, 0.383, 0.463], [0.679, 0.226, 0.072], [0.841, 0.617, 0.537], [0.226, 0.072, 0.679], [0.928, 0.321, 0.774], [0.072, 0.679, 0.226], [0.617, 0.537, 0.841], [0.321, 0.774, 0.928], [0.774, 0.928, 0.321], [0.383, 0.463, 0.159], [0.537, 0.841, 0.617], [0.000, 0.000, 0.000]]
}

***

No. 16
{
  "formula": "PmFeI",
  "functional": "PBE-GGA",
  "state": "relaxed",
  "volume_a3_per_atom": 25.985,
  "dft_energy_ev_per_fu": -15.082,
  "polymorph_energy_mev_per_atom": 557,
  "sg": "C2/m (12)",
  "e_form_raw_mev_per_atom": -106.1,
  "cell": [[-2.678, -1.392, 2.163], [-2.130, -0.636, -6.235], [2.555, -6.068, -0.742]],
  "species": ["Fe", "Fe", "I", "I", "Pm", "Pm"],
  "fractional_positions": [[0.218, 0.436, 0.409], [0.782, 0.564, 0.591], [0.573, 0.146, 0.238], [0.427, 0.854, 0.762], [0.850, 0.701, 0.156], [0.150, 0.299, 0.844]]
}

***

No. 17
{
  "formula": "Pm6FeI12",
  "functional": "PBE-GGA",
  "state": "relaxed",
  "volume_a3_per_atom": 38.318,
  "dft_energy_ev_per_fu": -73.397,
  "sg": "R-3m (166)",
  "e_form_raw_mev_per_atom": -938.4,
  "cell": [[-8.243, -4.225, 0.188], [1.705, -8.633, -2.898], [0.138, -5.103, 7.732]],
  "species": ["Pm", "Pm", "Pm", "Pm", "Pm", "Pm", "I", "I", "I", "I", "I", "I", "I", "I", "I", "I", "I", "I", "Fe"],
  "fractional_positions": [[0.195, 0.772, 0.772], [0.228, 0.805, 0.228], [0.772, 0.772, 0.195], [0.772, 0.195, 0.772], [0.805, 0.228, 0.228], [0.228, 0.228, 0.805], [0.552, 0.171, 0.552], [0.171, 0.552, 0.552], [0.898, 0.898, 0.415], [0.585, 0.102, 0.102], [0.829, 0.448, 0.448], [0.102, 0.585, 0.102], [0.448, 0.448, 0.829], [0.102, 0.102, 0.585], [0.415, 0.898, 0.898], [0.448, 0.829, 0.448], [0.552, 0.552, 0.171], [0.898, 0.415, 0.898], [0.000, 0.000, 0.000]]
}

***

No. 18
{
  "formula": "PmFe2I8",
  "functional": "PBE-GGA",
  "state": "relaxed",
  "volume_a3_per_atom": 49.287,
  "dft_energy_ev_per_fu": -40.620,
  "sg": "C2/m (12)",
  "e_form_raw_mev_per_atom": -594.8,
  "cell": [[-1.670, 6.711, 1.313], [-7.496, -2.232, 4.084], [3.218, -0.373, 8.207]],
  "species": ["I", "I", "I", "I", "I", "I", "I", "I", "Pm", "Fe", "Fe"],
  "fractional_positions": [[0.281, 0.804, 0.804], [0.238, 0.917, 0.288], [0.762, 0.712, 0.083], [0.238, 0.288, 0.917], [0.777, 0.624, 0.624], [0.719, 0.196, 0.196], [0.223, 0.376, 0.376], [0.762, 0.083, 0.712], [0.000, 0.000, 0.000], [0.653, 0.804, 0.804], [0.347, 0.196, 0.196]]
}

***

No. 19
{
  "formula": "Pm3FeI",
  "functional": "PBE-GGA",
  "state": "relaxed",
  "volume_a3_per_atom": 28.879,
  "dft_energy_ev_per_fu": -25.855,
  "sg": "P2_1/m (11)",
  "e_form_raw_mev_per_atom": -318.0,
  "cell": [[3.941, 0.000, 0.000], [0.000, 8.553, -2.681], [0.000, 0.263, 8.485]],
  "species": ["Pm", "Pm", "Pm", "Pm", "Pm", "Pm", "I", "I", "Fe", "Fe"],
  "fractional_positions": [[0.250, 0.587, 0.309], [0.250, 0.752, 0.938], [0.250, 0.074, 0.701], [0.750, 0.413, 0.691], [0.750, 0.248, 0.062], [0.750, 0.926, 0.299], [0.750, 0.767, 0.616], [0.250, 0.233, 0.384], [0.250, 0.434, 0.950], [0.750, 0.566, 0.050]]
}